# 1
Li2ScSb at its PBEsol-relaxed geometry, computed with SCAN.

## Properties
Density ... 3.3 g cm⁻³
Uncorrected formation energy ... -171 meV per atom

a b c (Å): 3.2874 3.2874 28.8366
angles (deg): 90.00 90.00 120.00
Space group R3m (No. 160, hexagonal axes)
Inequivalent atoms, fractional coordinates:
Li (0.0000, 0.0000, 0.0000) (multiplicity 3)
Li (0.0000, 0.0000, 0.2455) (multiplicity 3)
Sc (0.0000, 0.0000, 0.4920) (multiplicity 3)
Sb (0.0000, 0.0000, 0.7435) (multiplicity 3)

# 2
As2Ir2Au at its PBEsol-relaxed geometry, computed with SCAN.

## Properties
Density ... 14.3 g cm⁻³
Formation enthalpy at 0 K ... 97 meV/atom

a b c (Å): 3.869 3.869 11.332
angles (deg): 90.00 90.00 90.00
Space group I4/mmm (No. 139)
Inequivalent atoms, fractional coordinates:
As (0.000, 0.500, 0.250) (multiplicity 4)
Ir (0.000, 0.000, 0.116) (multiplicity 4)
Au (0.000, 0.000, 0.500) (multiplicity 2)

# 3
Al2MoSe at its PBEsol-relaxed geometry, computed with SCAN.

## Properties
Density ... 5.6 g cm⁻³
Uncorrected formation energy ... 25 meV per atom

a b c (Å): 3.0956 3.0956 24.4629
angles (deg): 90.00 90.00 120.00
Space group R3m (No. 160, hexagonal axes)
Inequivalent atoms, fractional coordinates:
Al (0.0000, 0.0000, 0.0000) (multiplicity 3)
Al (0.0000, 0.0000, 0.2452) (multiplicity 3)
Mo (0.0000, 0.0000, 0.4947) (multiplicity 3)
Se (0.0000, 0.0000, 0.7570) (multiplicity 3)

# 4
Mg2AlTl at its PBEsol-relaxed geometry, computed with SCAN.

## Properties
Density ... 5.4 g cm⁻³
Formation enthalpy at 0 K ... -18 meV/atom

a b c (Å): 3.164 3.164 8.536
angles (deg): 90.00 90.00 90.00
Space group P4/mmm (No. 123)
Inequivalent atoms, fractional coordinates:
Mg (0.000, 0.000, 0.232) (multiplicity 2)
Al (0.500, 0.500, 0.000) (multiplicity 1)
Tl (0.500, 0.500, 0.500) (multiplicity 1)

# 5
ScTeIr4 at its PBEsol-relaxed geometry, computed with SCAN.

## Properties
Density ... 15.4 g cm⁻³
Uncorrected formation energy ... -117 meV per atom

a b c (Å): 7.401 7.401 7.401
angles (deg): 90.00 90.00 90.00
Space group F-43m (No. 216)
Inequivalent atoms, fractional coordinates:
Sc (0.000, 0.000, 0.000) (multiplicity 4)
Te (0.250, 0.250, 0.750) (multiplicity 4)
Ir (0.125, 0.125, 0.375) (multiplicity 16)

# 6
SbClF10 at its PBEsol-relaxed geometry, computed with SCAN.

## Properties
Density ... 3.1 g cm⁻³
Uncorrected formation energy ... -1468 meV per atom

a b c (Å): 5.837 14.925 8.498
angles (deg): 90.00 90.00 90.00
Space group Pbcm (No. 57)
Inequivalent atoms, fractional coordinates:
Sb (0.088, 0.145, 0.250) (multiplicity 4)
Cl (0.420, 0.661, 0.750) (multiplicity 4)
F (0.082, 0.149, 0.028) (multiplicity 8)
F (0.089, 0.538, 0.250) (multiplicity 4)
F (0.192, 0.603, 0.750) (multiplicity 4)
F (0.193, 0.716, 0.250) (multiplicity 4)
F (0.249, 0.241, 0.750) (multiplicity 4)
F (0.371, 0.084, 0.250) (multiplicity 4)
F (0.407, 0.079, 0.750) (multiplicity 4)
F (0.418, 0.657, 0.554) (multiplicity 8)

# 7
NbRuSeN2 at its PBEsol-relaxed geometry, computed with SCAN.

## Properties
Density ... 6.9 g cm⁻³
Uncorrected formation energy ... 777 meV per atom

a b c (Å): 3.784 3.784 5.072
angles (deg): 90.00 90.00 90.00
Space group P4/mmm (No. 123)
Inequivalent atoms, fractional coordinates:
Nb (0.000, 0.000, 0.000) (multiplicity 1)
Ru (0.500, 0.500, 0.500) (multiplicity 1)
Se (0.500, 0.500, 0.000) (multiplicity 1)
N (0.000, 0.500, 0.500) (multiplicity 2)

# 8
Na2SrSn4 at its PBEsol-relaxed geometry, computed with SCAN.

## Properties
Density ... 4.9 g cm⁻³
Formation enthalpy at 0 K ... -426 meV/atom

a b c (Å): 18.983 6.639 6.540
angles (deg): 90.00 94.12 90.00
Space group C2/c (No. 15)
Inequivalent atoms, fractional coordinates:
Na (0.202, 0.098, 0.197) (multiplicity 8)
Sr (0.000, 0.280, 0.250) (multiplicity 4)
Sn (0.078, 0.201, 0.776) (multiplicity 8)
Sn (0.152, 0.477, 0.514) (multiplicity 8)

# 9
BaSrCo2 at its PBEsol-relaxed geometry, computed with SCAN.

## Properties
Density ... 5.7 g cm⁻³
Formation enthalpy at 0 K ... 496 meV/atom

a b c (Å): 3.365 3.365 8.888
angles (deg): 90.00 90.00 90.00
Space group P4mm (No. 99)
Inequivalent atoms, fractional coordinates:
Ba (0.000, 0.000, 0.000) (multiplicity 1)
Sr (0.500, 0.500, 0.575) (multiplicity 1)
Co (0.000, 0.000, 0.318) (multiplicity 1)
Co (0.500, 0.500, 0.269) (multiplicity 1)

# 10
Al2TeSe at its PBEsol-relaxed geometry, computed with SCAN.

## Properties
Density ... 4.9 g cm⁻³
Energy relative to the lowest polymorph listed for this composition ... 282 meV per atom
Uncorrected formation energy ... -99 meV per atom

a b c (Å): 5.621 7.954 3.988
angles (deg): 90.00 90.00 90.00
Space group Cmmm (No. 65)
Inequivalent atoms, fractional coordinates:
Al (0.000, 0.239, 0.000) (multiplicity 4)
Te (0.000, 0.500, 0.500) (multiplicity 2)
Se (0.000, 0.000, 0.500) (multiplicity 2)

# 11
Ca2SiSb at its PBEsol-relaxed geometry, computed with SCAN.

## Properties
Density ... 3.9 g cm⁻³
Energy relative to the lowest polymorph listed for this composition ... 0 meV per atom
Uncorrected formation energy ... -550 meV per atom

a b c (Å): 4.784 4.784 4.275
angles (deg): 90.00 90.00 90.00
Space group P4/mmm (No. 123)
Inequivalent atoms, fractional coordinates:
Ca (0.000, 0.500, 0.000) (multiplicity 2)
Si (0.000, 0.000, 0.500) (multiplicity 1)
Sb (0.500, 0.500, 0.500) (multiplicity 1)

# 12
AlGa3N4 at its PBEsol-relaxed geometry, computed with SCAN.

## Properties
Density ... 5.5 g cm⁻³
Energy relative to the lowest polymorph listed for this composition ... 9 meV per atom
Uncorrected formation energy ... -895 meV per atom

a b c (Å): 4.465 4.465 4.465
angles (deg): 90.00 90.00 90.00
Space group P-43m (No. 215)
Inequivalent atoms, fractional coordinates:
Al (0.000, 0.000, 0.000) (multiplicity 1)
Ga (0.000, 0.500, 0.500) (multiplicity 3)
N (0.245, 0.245, 0.245) (multiplicity 4)

# 13
Mg2TcNi at its PBEsol-relaxed geometry, computed with SCAN.

## Properties
Density ... 5.5 g cm⁻³
Formation enthalpy at 0 K ... 69 meV/atom
Energy relative to the lowest polymorph listed for this composition ... 0 meV per atom

a b c (Å): 2.783 2.783 8.000
angles (deg): 90.00 90.00 90.00
Space group P4mm (No. 99)
Inequivalent atoms, fractional coordinates:
Mg (0.000, 0.000, 0.000) (multiplicity 1)
Mg (0.500, 0.500, 0.325) (multiplicity 1)
Tc (0.500, 0.500, 0.741) (multiplicity 1)
Ni (0.000, 0.000, 0.551) (multiplicity 1)

# 14
Ba2CuOs at its PBEsol-relaxed geometry, computed with SCAN.

## Properties
Density ... 6.7 g cm⁻³
Formation enthalpy at 0 K ... 457 meV/atom

a b c (Å): 4.306 4.499 13.447
angles (deg): 90.00 90.00 90.00
Space group Imm2 (No. 44)
Inequivalent atoms, fractional coordinates:
Ba (0.000, 0.000, 0.000) (multiplicity 2)
Ba (0.000, 0.500, 0.248) (multiplicity 2)
Cu (0.000, 0.500, 0.831) (multiplicity 2)
Os (0.000, 0.000, 0.402) (multiplicity 2)

# 15
MgI2O6 at its PBEsol-relaxed geometry, computed with SCAN.

## Properties
Density ... 5.0 g cm⁻³
Uncorrected formation energy ... -991 meV per atom

a b c (Å): 5.288 5.632 16.652
angles (deg): 90.00 90.00 90.00
Space group P2_12_12_1 (No. 19)
Inequivalent atoms, fractional coordinates:
Mg (0.199, 0.174, 0.092) (multiplicity 4)
I (0.039, 0.854, 0.925) (multiplicity 4)
I (0.244, 0.264, 0.790) (multiplicity 4)
O (0.022, 0.040, 0.202) (multiplicity 4)
O (0.025, 0.465, 0.843) (multiplicity 4)
O (0.068, 0.612, 0.516) (multiplicity 4)
O (0.109, 0.494, 0.667) (multiplicity 4)
O (0.128, 0.895, 0.380) (multiplicity 4)
O (0.246, 0.170, 0.548) (multiplicity 4)

# 16
Ba3CoAs at its PBEsol-relaxed geometry, computed with SCAN.

## Properties
Density ... 5.6 g cm⁻³
Formation enthalpy at 0 K ... -92 meV/atom

a b c (Å): 5.463 5.463 5.463
angles (deg): 90.00 90.00 90.00
Space group Pm-3m (No. 221)
Inequivalent atoms, fractional coordinates:
Ba (0.000, 0.000, 0.500) (multiplicity 3)
Co (0.000, 0.000, 0.000) (multiplicity 1)
As (0.500, 0.500, 0.500) (multiplicity 1)

# 17
KHfBr2 at its PBEsol-relaxed geometry, computed with SCAN.

## Properties
Density ... 4.5 g cm⁻³
Uncorrected formation energy ... -403 meV per atom

a b c (Å): 5.910 5.910 16.069
angles (deg): 90.00 90.00 90.00
Space group I-42d (No. 122)
Inequivalent atoms, fractional coordinates:
K (0.000, 0.000, 0.000) (multiplicity 4)
Hf (0.000, 0.000, 0.500) (multiplicity 4)
Br (0.145, 0.250, 0.625) (multiplicity 8)

# 18
Ta2Hg2P at its PBEsol-relaxed geometry, computed with SCAN.

## Properties
Density ... 13.5 g cm⁻³
Formation enthalpy at 0 K ... 617 meV/atom

a b c (Å): 3.656 3.656 14.567
angles (deg): 90.00 90.00 90.00
Space group I4/mmm (No. 139)
Inequivalent atoms, fractional coordinates:
Ta (0.000, 0.000, 0.086) (multiplicity 4)
Hg (0.000, 0.500, 0.250) (multiplicity 4)
P (0.000, 0.000, 0.500) (multiplicity 2)

# 19
SrCa2Re at its PBEsol-relaxed geometry, computed with SCAN.

## Properties
Density ... 5.2 g cm⁻³
Formation enthalpy at 0 K ... 897 meV/atom
Energy relative to the lowest polymorph listed for this composition ... 13 meV per atom

a b c (Å): 10.125 3.165 7.107
angles (deg): 90.00 95.30 90.00
Space group Cm (No. 8)
Inequivalent atoms, fractional coordinates:
Sr (0.000, 0.000, 0.000) (multiplicity 2)
Ca (0.230, 0.000, 0.642) (multiplicity 2)
Ca (0.470, 0.000, 0.412) (multiplicity 2)
Re (0.232, 0.500, 0.261) (multiplicity 2)

# 20
Be2HgPb at its PBEsol-relaxed geometry, computed with SCAN.

## Properties
Density ... 9.3 g cm⁻³
Formation enthalpy at 0 K ... 537 meV/atom
Energy relative to the lowest polymorph listed for this composition ... 256 meV per atom

a b c (Å): 3.165 4.127 5.919
angles (deg): 90.00 99.55 90.00
Space group P2/m (No. 10)
Inequivalent atoms, fractional coordinates:
Be (0.196, 0.000, 0.345) (multiplicity 2)
Hg (0.500, 0.500, 0.500) (multiplicity 1)
Pb (0.000, 0.500, 0.000) (multiplicity 1)